Below is crystalline Nb2CoN at its relaxed geometry, with properties calculated at the PBE level.

Cell lengths 9.0762, 5.2045, 13.4513 Å; angles 90.00, 102.90, 90.00 degrees
Last column: nearest neighbours and their distance in Å.
Space group C2/c (No. 15)
One atom of each set of equivalent atoms:
Nb  0.0370  0.0827  0.3688  3 N 2.36-2.47
Nb  0.1132  0.4108  0.5926  3 N 2.11-2.23
Nb  0.2209  0.4169  0.9074  3 N 2.12-2.23
Co  0.0000  0.3796  0.7500  4 Nb 2.56-2.58, 4 Co 2.63-2.64
Co  0.2339  0.3206  0.2491  4 Nb 2.55-2.57, 4 Co 2.62-2.64
N  0.0766  0.2291  0.0002  5 Nb 2.11-2.36
N  0.2500  0.2500  0.5000  4 Nb 2.12

Values from the calculation:
crystal system: monoclinic
total DFT energy (no corrections): -9.378 eV per atom
M_tot: 0.0 Bohr magnetons per cell